[1]
Computed, not measured: a geometry-optimized Dy4CuRu structure at the PBE level of DFT.

Properties
- total DFT energy (no corrections) (eV/atom) = -5.430
- SG = No. 12
- formation energy (meV/atom) = -133
- relative energy among the computed polymorphs (meV per atom) = 77.1

CIF file:
```
data_Dy4CuRu
_symmetry_space_group_name_H-M 'P 1'
_symmetry_Int_Tables_number 1
_cell_length_a 4.812
_cell_length_b 4.812
_cell_length_c 6.805
_cell_angle_alpha 89.95
_cell_angle_beta 89.96
_cell_angle_gamma 90.00
loop_
_symmetry_equiv_pos_as_xyz
'x,y,z'
loop_
_atom_site_label
_atom_site_type_symbol
_atom_site_fract_x
_atom_site_fract_y
_atom_site_fract_z
_atom_site_occupancy
Dy1 Dy 0.501 0.997 0.254 1
Dy2 Dy 0.002 0.498 0.742 1
Dy3 Dy 0.502 0.998 0.742 1
Dy4 Dy 0.001 0.497 0.254 1
Cu1 Cu 0.501 0.498 0.998 1
Ru1 Ru 0.001 0.997 0.498 1
```

---

[2]
Computed, not measured: a geometry-optimized Dy2CuRu structure at the PBE level of DFT.

Properties
- total DFT energy (no corrections) (eV/atom) = -5.995
- SG = No. 123
- formation energy (meV/atom) = -351

CIF file:
```
data_Dy2CuRu
_symmetry_space_group_name_H-M 'P 1'
_symmetry_Int_Tables_number 1
_cell_length_a 3.416
_cell_length_b 3.416
_cell_length_c 6.988
_cell_angle_alpha 90.00
_cell_angle_beta 90.00
_cell_angle_gamma 90.00
loop_
_symmetry_equiv_pos_as_xyz
'x,y,z'
loop_
_atom_site_label
_atom_site_type_symbol
_atom_site_fract_x
_atom_site_fract_y
_atom_site_fract_z
_atom_site_occupancy
Cu1 Cu 0.500 0.500 0.500 1
Ru1 Ru 0.500 0.500 0.000 1
Dy1 Dy 0.000 0.000 0.760 1
Dy2 Dy 0.000 0.000 0.240 1
```

---

[3]
Computed, not measured: a geometry-optimized Dy6CuRu2 structure at the PBE level of DFT.

Properties
- total DFT energy (no corrections) (eV/atom) = -5.857
- SG = No. 71
- formation energy (meV/atom) = -272

CIF file:
```
data_Dy6CuRu2
_symmetry_space_group_name_H-M 'P 1'
_symmetry_Int_Tables_number 1
_cell_length_a 8.359
_cell_length_b 8.359
_cell_length_c 8.359
_cell_angle_alpha 104.53
_cell_angle_beta 112.01
_cell_angle_gamma 111.98
loop_
_symmetry_equiv_pos_as_xyz
'x,y,z'
loop_
_atom_site_label
_atom_site_type_symbol
_atom_site_fract_x
_atom_site_fract_y
_atom_site_fract_z
_atom_site_occupancy
Dy1 Dy 0.903 0.724 0.178 1
Dy2 Dy 0.097 0.276 0.822 1
Dy3 Dy 0.315 0.645 0.330 1
Dy4 Dy 0.808 0.246 0.054 1
Dy5 Dy 0.315 0.985 0.670 1
Dy6 Dy 0.192 0.754 0.946 1
Dy7 Dy 0.808 0.754 0.562 1
Dy8 Dy 0.685 0.015 0.330 1
Dy9 Dy 0.685 0.355 0.670 1
Dy10 Dy 0.454 0.276 0.178 1
Dy11 Dy 0.192 0.246 0.438 1
Dy12 Dy 0.546 0.724 0.822 1
Ru1 Ru 0.316 0.000 0.316 1
Ru2 Ru 0.684 0.000 0.684 1
Ru3 Ru 0.500 0.627 0.127 1
Ru4 Ru 0.500 0.373 0.873 1
Cu1 Cu 0.000 0.000 0.000 1
Cu2 Cu 0.000 0.500 0.500 1
```

---

[4]
Computed, not measured: a geometry-optimized DyCuRu structure at the PBE level of DFT.

Properties
- total DFT energy (no corrections) (eV/atom) = -6.298
- SG = No. 74
- formation energy (meV/atom) = -306
- relative energy among the computed polymorphs (meV per atom) = 0.0

CIF file:
```
data_DyCuRu
_symmetry_space_group_name_H-M 'P 1'
_symmetry_Int_Tables_number 1
_cell_length_a 5.210
_cell_length_b 5.343
_cell_length_c 5.343
_cell_angle_alpha 56.79
_cell_angle_beta 60.82
_cell_angle_gamma 60.82
loop_
_symmetry_equiv_pos_as_xyz
'x,y,z'
loop_
_atom_site_label
_atom_site_type_symbol
_atom_site_fract_x
_atom_site_fract_y
_atom_site_fract_z
_atom_site_occupancy
Dy1 Dy 0.877 0.373 0.373 1
Dy2 Dy 0.123 0.627 0.627 1
Ru1 Ru 0.500 0.000 0.000 1
Ru2 Ru 0.000 0.000 0.000 1
Cu1 Cu 0.500 0.500 0.000 1
Cu2 Cu 0.500 0.000 0.500 1
```

---

[5]
Computed, not measured: a geometry-optimized Dy5Cu4Ru structure at the PBE level of DFT.

Properties
- total DFT energy (no corrections) (eV/atom) = -5.160
- SG = No. 123
- formation energy (meV/atom) = -293

CIF file:
```
data_Dy5Cu4Ru
_symmetry_space_group_name_H-M 'P 1'
_symmetry_Int_Tables_number 1
_cell_length_a 3.438
_cell_length_b 3.438
_cell_length_c 17.456
_cell_angle_alpha 90.00
_cell_angle_beta 90.00
_cell_angle_gamma 90.00
loop_
_symmetry_equiv_pos_as_xyz
'x,y,z'
loop_
_atom_site_label
_atom_site_type_symbol
_atom_site_fract_x
_atom_site_fract_y
_atom_site_fract_z
_atom_site_occupancy
Cu1 Cu 0.000 0.000 0.600 1
Cu2 Cu 0.000 0.000 0.199 1
Cu3 Cu 0.000 0.000 0.801 1
Cu4 Cu 0.000 0.000 0.400 1
Dy1 Dy 0.500 0.500 0.904 1
Dy2 Dy 0.500 0.500 0.096 1
Dy3 Dy 0.500 0.500 0.500 1
Dy4 Dy 0.500 0.500 0.702 1
Dy5 Dy 0.500 0.500 0.298 1
Ru1 Ru 0.000 0.000 0.000 1
```

---

[6]
Computed, not measured: a geometry-optimized Dy2Cu2Ru structure at the PBE level of DFT.

Properties
- total DFT energy (no corrections) (eV/atom) = -5.424
- SG = No. 72
- formation energy (meV/atom) = -89

CIF file:
```
data_Dy2Cu2Ru
_symmetry_space_group_name_H-M 'P 1'
_symmetry_Int_Tables_number 1
_cell_length_a 5.964
_cell_length_b 6.010
_cell_length_c 7.341
_cell_angle_alpha 114.16
_cell_angle_beta 113.96
_cell_angle_gamma 90.00
loop_
_symmetry_equiv_pos_as_xyz
'x,y,z'
loop_
_atom_site_label
_atom_site_type_symbol
_atom_site_fract_x
_atom_site_fract_y
_atom_site_fract_z
_atom_site_occupancy
Cu1 Cu 0.119 0.374 0.237 1
Cu2 Cu 0.381 0.137 0.763 1
Cu3 Cu 0.881 0.626 0.763 1
Cu4 Cu 0.619 0.863 0.237 1
Dy1 Dy 0.857 0.080 0.713 1
Dy2 Dy 0.357 0.633 0.713 1
Dy3 Dy 0.643 0.367 0.287 1
Dy4 Dy 0.143 0.920 0.287 1
Ru1 Ru 0.750 0.500 0.000 1
Ru2 Ru 0.250 0.500 0.000 1
```

---

no.,ρ (g/cm3),DOS(E_F) (states/eV/cell)
1,8.59,5.87
2,9.97,3.01
3,9.22,14.50
4,10.49,3.27
5,9.40,4.96
6,8.55,5.40